(1)
{
  "formula": "Al2CoPb",
  "functional": "meta-GGA SCAN",
  "state": "single point on PBEsol structure",
  "delta_e_f_ev_per_atom": 0.382,
  "final_energy_ev_per_atom": -26.765,
  "lattice_angstrom": [[2.641, -5.003, 0.000], [2.641, 5.003, 0.000], [-1.614, 0.000, 2.620]],
  "species": ["Al", "Al", "Co", "Pb"],
  "frac_coords": [[0.000, 0.500, 0.000], [0.500, 0.000, 0.000], [0.000, 0.000, 0.000], [0.500, 0.500, 0.000]]
}



(2)
{
  "formula": "CeCo12B6",
  "functional": "meta-GGA SCAN",
  "state": "single point on PBEsol structure",
  "delta_e_f_ev_per_atom": -0.270,
  "final_energy_ev_per_atom": -15.891,
  "lattice_angstrom": [[4.651, 2.685, 2.428], [-4.651, 2.685, 2.428], [0.000, -5.370, 2.428]],
  "species": ["Ce", "Co", "Co", "Co", "Co", "Co", "Co", "Co", "Co", "Co", "Co", "Co", "Co", "B", "B", "B", "B", "B", "B"],
  "frac_coords": [[0.000, 0.000, 0.000], [0.133, 0.500, 0.867], [0.133, 0.867, 0.500], [0.186, 0.454, 0.454], [0.454, 0.186, 0.454], [0.454, 0.454, 0.186], [0.500, 0.133, 0.867], [0.500, 0.867, 0.133], [0.546, 0.546, 0.814], [0.546, 0.814, 0.546], [0.814, 0.546, 0.546], [0.867, 0.133, 0.500], [0.867, 0.500, 0.133], [0.232, 0.232, 0.675], [0.232, 0.675, 0.232], [0.325, 0.768, 0.768], [0.675, 0.232, 0.232], [0.768, 0.325, 0.768], [0.768, 0.768, 0.325]]
}



(3)
{
  "formula": "ZrInFe2",
  "functional": "meta-GGA SCAN",
  "state": "single point on PBEsol structure",
  "delta_e_f_ev_per_atom": 0.061,
  "final_energy_ev_per_atom": -25.025,
  "lattice_angstrom": [[-1.884, 1.884, 4.345], [1.884, -1.884, 4.345], [1.884, 1.884, -4.345]],
  "species": ["Zr", "In", "Fe", "Fe"],
  "frac_coords": [[0.000, 0.000, 0.000], [0.250, 0.750, 0.500], [0.500, 0.500, 0.000], [0.750, 0.250, 0.500]]
}



(4)
{
  "formula": "CdRe2As",
  "functional": "meta-GGA SCAN",
  "state": "single point on PBEsol structure",
  "polymorph_energy_mev_per_atom": 0,
  "delta_e_f_ev_per_atom": 0.187,
  "final_energy_ev_per_atom": -48.013,
  "lattice_angstrom": [[2.905, 0.000, 0.000], [0.000, 2.905, 0.000], [0.000, 0.000, 8.136]],
  "species": ["Cd", "Re", "Re", "As"],
  "frac_coords": [[0.000, 0.000, 0.000], [0.000, 0.000, 0.456], [0.500, 0.500, 0.255], [0.500, 0.500, 0.664]]
}



(5)
{
  "formula": "AgHgPt2",
  "functional": "meta-GGA SCAN",
  "state": "single point on PBEsol structure",
  "delta_e_f_ev_per_atom": 0.050,
  "final_energy_ev_per_atom": -59.930,
  "lattice_angstrom": [[4.044, 0.000, 0.000], [0.000, 4.044, 0.000], [0.000, 0.000, 4.002]],
  "species": ["Ag", "Hg", "Pt", "Pt"],
  "frac_coords": [[0.000, 0.000, 0.000], [0.500, 0.500, 0.000], [0.000, 0.500, 0.500], [0.500, 0.000, 0.500]]
}



(6)
{
  "formula": "KLi2Be",
  "functional": "meta-GGA SCAN",
  "state": "single point on PBEsol structure",
  "delta_e_f_ev_per_atom": 0.655,
  "final_energy_ev_per_atom": -3.711,
  "lattice_angstrom": [[3.224, -4.879, 0.000], [3.224, 4.879, 0.000], [-1.294, 0.000, 2.922]],
  "species": ["K", "Li", "Li", "Be"],
  "frac_coords": [[0.000, 0.000, 0.000], [0.000, 0.500, 0.500], [0.500, 0.000, 0.500], [0.500, 0.500, 0.000]]
}



(7)
{
  "formula": "K2LiFe",
  "functional": "meta-GGA SCAN",
  "state": "single point on PBEsol structure",
  "polymorph_energy_mev_per_atom": 16,
  "delta_e_f_ev_per_atom": 0.697,
  "final_energy_ev_per_atom": -8.598,
  "lattice_angstrom": [[-2.820, 2.820, 4.112], [2.820, -2.820, 4.112], [2.820, 2.820, -4.112]],
  "species": ["K", "K", "Li", "Fe"],
  "frac_coords": [[0.000, 0.000, 0.000], [0.750, 0.250, 0.500], [0.500, 0.500, 0.000], [0.250, 0.750, 0.500]]
}



(8)
{
  "formula": "Ta2CdPt",
  "functional": "meta-GGA SCAN",
  "state": "single point on PBEsol structure",
  "delta_e_f_ev_per_atom": -0.155,
  "final_energy_ev_per_atom": -58.599,
  "lattice_angstrom": [[-1.991, 1.991, 4.277], [1.991, -1.991, 4.277], [1.991, 1.991, -4.277]],
  "species": ["Ta", "Ta", "Cd", "Pt"],
  "frac_coords": [[0.250, 0.750, 0.500], [0.750, 0.250, 0.500], [0.000, 0.000, 0.000], [0.500, 0.500, 0.000]]
}